# 1
A relaxed structure of Y3CdO, computed with PBE.

Computed properties:
Formation energy without anion corrections   -1.151 eV per atom
Energy above the lowest structure with this stoichiometry   185.9 meV per atom
M_tot   1.0 Bohr magnetons per cell

abc: 3.659 6.188 6.188
angles: 109.58 90.00 90.00
Last column: magnetic moment on the atom in μB.
Atoms (fractional coordinates):
Y: 0.000 0.148 0.852  0.20
O: 0.500 0.022 0.978  0.00
Y: 0.500 0.647 0.842  0.15
Y: 0.500 0.158 0.353  0.14
Cd: 0.000 0.652 0.348  0.00

=====

# 2
A relaxed structure of Sc2AsSe, computed with PBE.

Computed properties:
Formation energy without anion corrections   -1.330 eV per atom
Energy above the lowest structure with this stoichiometry   223.5 meV per atom
M_tot   0.0 Bohr magnetons per cell

abc: 6.320 6.320 3.849
angles: 90.00 90.00 34.65
Atoms (fractional coordinates):
As: 0.248 0.248 0.125
Sc: 0.023 0.023 0.125
Sc: 0.727 0.727 0.625
Se: 0.502 0.502 0.625

=====

# 3
A relaxed structure of AcSmSnBi, computed with PBE.

Computed properties:
M_tot   0.0 Bohr magnetons per cell
Energy of formation   -594.8 meV per atom

abc: 5.706 5.706 5.706
angles: 60.00 60.00 60.00
Atoms (fractional coordinates):
Ac: 0.000 0.000 0.000
Bi: 0.750 0.750 0.750
Sn: 0.250 0.250 0.250
Sm: 0.500 0.500 0.500

=====

# 4
A relaxed structure of LiAgTe2, computed with PBE.

Computed properties:
Formation energy without anion corrections   -0.263 eV per atom
M_tot   0.0 Bohr magnetons per cell

abc: 4.075 4.440 5.947
angles: 73.06 90.00 90.00
Atoms (fractional coordinates):
Te: 0.000 0.484 0.500
Li: 0.500 0.750 0.750
Te: 0.000 0.016 0.000
Ag: 0.500 0.250 0.250

=====

# 5
A relaxed structure of LiSbPt, computed with PBE.

Computed properties:
Formation energy without anion corrections   -0.508 eV per atom
M_tot   0.0 Bohr magnetons per cell

abc: 3.590 3.590 4.779
angles: 112.06 112.06 90.00
Atoms (fractional coordinates):
Li: 0.285 0.285 0.571
Pt: 0.957 0.957 0.913
Sb: 0.608 0.608 0.216

=====

# 6
A relaxed structure of TiBrF, computed with PBE.

Computed properties:
Formation energy without anion corrections   -1.821 eV per atom
Energy above the lowest structure with this stoichiometry   50.2 meV per atom
M_tot   4.0 Bohr magnetons per cell

abc: 4.222 6.580 5.312
angles: 66.17 89.98 66.76
Last column: magnetic moment on the atom in μB.
Atoms (fractional coordinates):
Br: 0.407 0.704 0.148  -0.01
F: 0.813 0.818 0.591  0.02
Ti: 0.329 0.791 0.604  1.69
F: 0.187 0.182 0.409  0.02
Ti: 0.671 0.209 0.396  1.69
Br: 0.593 0.296 0.852  -0.01